1.
# PBE OsPb2Au, optimized geometry
# - DOS(E_F) (states/eV/atom) = 0.874
# - total DFT energy (no corrections) (eV per atom) = -4.8417
data_OsPb2Au
_cell_length_a 3.3625
_cell_length_b 3.3625
_cell_length_c 26.8999
_cell_angle_alpha 90.00
_cell_angle_beta 90.00
_cell_angle_gamma 120.00
_symmetry_space_group_name_H-M 'R -3 m'
_symmetry_Int_Tables_number 166
_symmetry_space_group_name_Hall '-R 3 2"'
loop_
_atom_site_label
_atom_site_fract_x
_atom_site_fract_y
_atom_site_fract_z
_atom_site_occupancy
Os1 0.0000 0.0000 0.0000 1
Pb1 0.0000 0.0000 0.2555 1
Au1 0.0000 0.0000 0.5000 1


2.
# PBE Os2PbAu, optimized geometry
# - DOS(E_F) (states/eV/atom) = 0.799
# - total DFT energy (no corrections) (eV per atom) = -6.4100
data_Os2PbAu
_cell_length_a 2.950
_cell_length_b 4.708
_cell_length_c 5.305
_cell_angle_alpha 90.00
_cell_angle_beta 90.39
_cell_angle_gamma 90.00
_symmetry_space_group_name_H-M 'P 1 2/m 1'
_symmetry_Int_Tables_number 10
loop_
_symmetry_equiv_pos_as_xyz
'x,y,z'
'-x,-y,-z'
'-x,y,-z'
'x,-y,z'
loop_
_atom_site_label
_atom_site_fract_x
_atom_site_fract_y
_atom_site_fract_z
_atom_site_occupancy
Os1 0.230 0.000 0.204 1
Pb1 0.000 0.500 0.500 1
Au1 0.500 0.500 0.000 1